# HoSbMo (PBE, optimized geometry)
# E, eV for the cell shown: -68.1
# Relative energy among the computed polymorphs, meV per atom: 604
# Total magnetization, μB per formula unit: 3.24
# Theoretical density, Mg/m³: 7.592
data_HoSbMo
_chemical_formula_sum 'Ho4 Sb4 Mo4'
_cell_length_a 6.944
_cell_length_b 6.944
_cell_length_c 6.944
_cell_angle_alpha 90.00
_cell_angle_beta 90.00
_cell_angle_gamma 90.00
_space_group_name_H-M_alt 'F -4 3 m'
_space_group_IT_number 216
_space_group_name_Hall 'F -4 2 3'
loop_
_atom_site_label
_atom_site_fract_x
_atom_site_fract_y
_atom_site_fract_z
Ho1 0.000 0.000 0.000
Sb1 0.250 0.250 0.750
Mo1 0.250 0.250 0.250